(1)
! Sr2BiPC PBE optimized geometry; values from VASP
! E (eV/cell): -15.63
! E_form (eV per atom): 1.249
! Symmetry: No. 123
! Crystal system: tetragonal
&SYSTEM
  ibrav = 0, nat = 5, ntyp = 4
/
ATOMIC_SPECIES
Sr 87.62 Sr.upf
Bi 208.98 Bi.upf
P 30.97 P.upf
C 12.01 C.upf
CELL_PARAMETERS angstrom
6.334 0.000 0.000
0.000 6.334 0.000
0.000 0.000 5.238
ATOMIC_POSITIONS crystal
Sr 0.000 0.500 0.000
Sr 0.500 0.000 0.000
Bi 0.000 0.000 0.000
P 0.000 0.000 0.500
C 0.500 0.500 0.500



(2)
! TcBiPC2 PBE optimized geometry; values from VASP
! E (eV/cell): -30.80
! E_form (eV per atom): 1.460
! Symmetry: No. 123
! Crystal system: tetragonal
&SYSTEM
  ibrav = 0, nat = 5, ntyp = 4
/
ATOMIC_SPECIES
Tc 98.00 Tc.upf
Bi 208.98 Bi.upf
P 30.97 P.upf
C 12.01 C.upf
CELL_PARAMETERS angstrom
3.979 0.000 0.000
0.000 3.979 0.000
0.000 0.000 5.787
ATOMIC_POSITIONS crystal
Tc 0.000 0.000 0.000
Bi 0.000 0.000 0.500
P 0.500 0.500 0.500
C 0.000 0.500 0.000
C 0.500 0.000 0.000



(3)
! Th4Bi2PC PBE optimized geometry; values from VASP
! E (eV/cell): -57.96
! E_form (eV per atom): -0.736
! Symmetry: No. 10
! Crystal system: monoclinic
&SYSTEM
  ibrav = 0, nat = 8, ntyp = 4
/
ATOMIC_SPECIES
Th 232.04 Th.upf
Bi 208.98 Bi.upf
P 30.97 P.upf
C 12.01 C.upf
CELL_PARAMETERS angstrom
7.232 0.000 0.000
0.000 4.110 0.000
-2.347 0.000 7.447
ATOMIC_POSITIONS crystal
Th 0.213 0.000 0.191
Th 0.247 0.500 0.801
Th 0.753 0.500 0.199
Th 0.787 0.000 0.809
Bi 0.000 0.000 0.500
Bi 0.500 0.500 0.500
P 0.500 0.000 0.000
C 0.000 0.500 0.000



(4)
! Th3BiPC PBE optimized geometry; values from VASP
! E (eV/cell): -90.26
! E_form (eV per atom): -0.726
! Symmetry: No. 11
! Crystal system: monoclinic
&SYSTEM
  ibrav = 0, nat = 12, ntyp = 4
/
ATOMIC_SPECIES
Th 232.04 Th.upf
Bi 208.98 Bi.upf
P 30.97 P.upf
C 12.01 C.upf
CELL_PARAMETERS angstrom
8.850 0.000 0.000
0.000 4.230 0.000
-2.170 0.000 9.336
ATOMIC_POSITIONS crystal
Th 0.064 0.250 0.354
Th 0.327 0.250 0.976
Th 0.384 0.750 0.651
Th 0.616 0.250 0.349
Th 0.673 0.750 0.024
Th 0.936 0.750 0.646
Bi 0.310 0.750 0.270
Bi 0.690 0.250 0.730
P 0.161 0.250 0.659
P 0.839 0.750 0.341
C 0.411 0.750 0.896
C 0.589 0.250 0.104



(5)
! Th4BiP2C PBE optimized geometry; values from VASP
! E (eV/cell): -122.07
! E_form (eV per atom): -0.929
! Symmetry: No. 63
! Crystal system: orthorhombic
&SYSTEM
  ibrav = 0, nat = 16, ntyp = 4
/
ATOMIC_SPECIES
Th 232.04 Th.upf
Bi 208.98 Bi.upf
P 30.97 P.upf
C 12.01 C.upf
CELL_PARAMETERS angstrom
2.092 -7.049 0.000
2.092 7.049 0.000
0.000 0.000 14.581
ATOMIC_POSITIONS crystal
Th 0.000 0.000 0.000
Th 0.000 0.000 0.500
Th 0.262 0.738 0.620
Th 0.262 0.738 0.880
Th 0.422 0.578 0.250
Th 0.578 0.422 0.750
Th 0.738 0.262 0.120
Th 0.738 0.262 0.380
Bi 0.105 0.895 0.250
Bi 0.895 0.105 0.750
P 0.368 0.632 0.055
P 0.368 0.632 0.445
P 0.632 0.368 0.555
P 0.632 0.368 0.945
C 0.164 0.836 0.750
C 0.836 0.164 0.250



(6)
! TlBiPC2 PBE optimized geometry; values from VASP
! E (eV/cell): -20.38
! E_form (eV per atom): 1.945
! Symmetry: No. 123
! Crystal system: tetragonal
&SYSTEM
  ibrav = 0, nat = 5, ntyp = 4
/
ATOMIC_SPECIES
Tl 204.38 Tl.upf
Bi 208.98 Bi.upf
P 30.97 P.upf
C 12.01 C.upf
CELL_PARAMETERS angstrom
4.054 0.000 0.000
0.000 4.054 0.000
0.000 0.000 5.626
ATOMIC_POSITIONS crystal
Tl 0.000 0.000 0.000
Bi 0.500 0.500 0.000
P 0.500 0.500 0.500
C 0.000 0.500 0.500
C 0.500 0.000 0.500



> Which formula does entry 4 have?

Th3BiPC